Entry 1:
AcSn2IrRh4: optimized geometry, GGA-PBE.

## Properties
E_form   -0.35 eV per atom
Density   11.5 g/cm³
DOS at the Fermi energy   7.2 states/eV/cell

abc: 4.503 4.503 9.130
angles: 75.72 75.72 60.00
Element x y z (fractional)
Ac 0.000 0.000 0.000
Sn 0.767 0.767 0.698
Sn 0.233 0.233 0.302
Ir 0.500 0.500 0.500
Rh 0.400 0.400 0.799
Rh 0.873 0.873 0.380
Rh 0.127 0.127 0.620
Rh 0.600 0.600 0.201

Entry 2:
Ac2Sn4IrRh3: optimized geometry, GGA-PBE.

## Properties
E_form   -0.70 eV per atom
Density   10.3 g/cm³
DOS at the Fermi energy   7.4 states/eV/cell

abc: 4.598 4.598 10.873
angles: 90.00 90.00 90.00
Element x y z (fractional)
Ac 0.500 0.000 0.253
Ac 0.000 0.500 0.747
Sn 0.500 0.500 0.000
Sn 0.000 0.000 0.000
Sn 0.500 0.000 0.627
Sn 0.000 0.500 0.373
Ir 0.500 0.500 0.500
Rh 0.000 0.000 0.500
Rh 0.500 0.000 0.870
Rh 0.000 0.500 0.130

Entry 3:
Ac6Te3Ir2Rh: optimized geometry, GGA-PBE.

## Properties
Formation energy without anion corrections   -1101 meV per atom
Density   9.2 g/cm³
DOS at the Fermi energy   6.1 states/eV/cell

abc: 7.681 7.681 8.320
angles: 98.84 98.84 119.97
Element x y z (fractional)
Ac 0.930 0.595 0.791
Ac 0.734 0.734 0.209
Ac 0.070 0.405 0.209
Ac 0.595 0.930 0.791
Ac 0.266 0.266 0.791
Ac 0.405 0.070 0.209
Te 0.166 0.834 0.500
Te 0.834 0.166 0.500
Te 0.500 0.500 0.500
Ir 0.333 0.667 0.000
Ir 0.667 0.333 0.000
Rh 0.000 0.000 0.000

Entry 4:
Ac8Te3IrRh3: optimized geometry, GGA-PBE.

## Properties
Formation energy without anion corrections   -978 meV per atom
Density   8.3 g/cm³
DOS at the Fermi energy   8.9 states/eV/cell

abc: 8.774 8.787 9.555
angles: 117.45 90.01 119.98
Element x y z (fractional)
Ac 0.264 0.528 0.292
Ac 0.736 0.472 0.708
Ac 0.769 0.538 0.298
Ac 0.231 0.462 0.702
Ac 0.769 0.029 0.298
Ac 0.231 0.971 0.702
Ac 0.261 0.029 0.298
Ac 0.739 0.971 0.702
Te 0.000 0.000 0.000
Te 0.000 0.500 0.000
Te 0.500 0.500 0.000
Ir 0.000 0.000 0.500
Rh 0.500 0.000 0.500
Rh 0.500 0.500 0.500
Rh 0.000 0.500 0.500